1.
# TaTl, single point on PBEsol structure, DFT SCAN
data_TaTl
_symmetry_space_group_name_H-M 'P 1'
_symmetry_Int_Tables_number 1
_symmetry_space_group_name_Hall 'P 1'
_cell_length_a 3.4508
_cell_length_b 4.7958
_cell_length_c 5.7116
_cell_angle_alpha 114.82
_cell_angle_beta 107.58
_cell_angle_gamma 90.00
loop_
_atom_site_label
_atom_site_type_symbol
_atom_site_fract_x
_atom_site_fract_y
_atom_site_fract_z
_atom_site_occupancy
Tl1 Tl 0.3832 0.6332 0.7664 1
Tl2 Tl 0.6168 0.3668 0.2336 1
Ta1 Ta 0.1447 0.8947 0.2893 1
Ta2 Ta 0.8553 0.1053 0.7107 1
# Spin magnetization ... 0.00 μB per cell
# ρ ... 15.82 g cm⁻³
# DOS at the Fermi energy ... 1.38 states/eV per cell
# DFT formation energy ... 0.5418 eV per atom
# Energy ... -68.9290 eV/atom
# Space group ... No. 74

---

2.
# Y2GeO5, single point on PBEsol structure, DFT SCAN
data_Y2GeO5
_symmetry_space_group_name_H-M 'P 1'
_symmetry_Int_Tables_number 1
_symmetry_space_group_name_Hall 'P 1'
_cell_length_a 3.6817
_cell_length_b 10.2265
_cell_length_c 10.9809
_cell_angle_alpha 90.00
_cell_angle_beta 90.00
_cell_angle_gamma 90.00
loop_
_atom_site_label
_atom_site_type_symbol
_atom_site_fract_x
_atom_site_fract_y
_atom_site_fract_z
_atom_site_occupancy
Y1 Y 0.2500 0.1358 0.4445 1
Y2 Y 0.7500 0.8917 0.2202 1
Y3 Y 0.2500 0.1083 0.7798 1
Y4 Y 0.2500 0.6358 0.0555 1
Y5 Y 0.7500 0.3642 0.9445 1
Y6 Y 0.7500 0.3917 0.2798 1
Y7 Y 0.7500 0.8642 0.5555 1
Y8 Y 0.2500 0.6083 0.7202 1
O1 O 0.7500 0.2763 0.4630 1
O2 O 0.7500 0.5084 0.1045 1
O3 O 0.2500 0.2237 0.9630 1
O4 O 0.2500 0.2671 0.6198 1
O5 O 0.2500 0.7598 0.2301 1
O6 O 0.2500 0.9916 0.6045 1
O7 O 0.7500 0.2329 0.1198 1
O8 O 0.7500 0.2402 0.7699 1
O9 O 0.2500 0.7671 0.8802 1
O10 O 0.7500 0.0084 0.3955 1
O11 O 0.7500 0.7763 0.0370 1
O12 O 0.2500 0.2598 0.2699 1
O13 O 0.2500 0.5099 0.3434 1
O14 O 0.7500 0.4901 0.6566 1
O15 O 0.7500 0.7402 0.7301 1
O16 O 0.7500 0.9901 0.8434 1
O17 O 0.7500 0.7329 0.3802 1
O18 O 0.2500 0.7237 0.5370 1
O19 O 0.2500 0.0099 0.1566 1
O20 O 0.2500 0.4916 0.8955 1
Ge1 Ge 0.7500 0.3233 0.6221 1
Ge2 Ge 0.7500 0.8233 0.8779 1
Ge3 Ge 0.2500 0.6767 0.3779 1
Ge4 Ge 0.2500 0.1767 0.1221 1
# Formation energy without anion corrections ... -3.213 eV/atom
# Spin magnetization ... 0.00 μB per cell
# ρ ... 5.31 g cm⁻³
# DOS at the Fermi energy ... 0.00 states/eV per cell
# Energy ... -16.4540 eV/atom
# Space group ... No. 62